## i
Material: Ho4In3Ga
Method: DFT, GGA-PBE
State: relaxed

Unit cell a=4.2335 b=4.5187 c=11.2863 alpha=90.00 beta=90.00 gamma=90.00
Space group Pmm2 (No. 25)
Unique sites:
Ho  0.0000  0.0000  0.0000
Ho  0.0000  0.5000  0.4847
Ho  0.5000  0.0000  0.7141
Ho  0.5000  0.5000  0.2189
In  0.0000  0.5000  0.7654
In  0.5000  0.0000  0.4315
In  0.5000  0.5000  0.9412
Ga  0.0000  0.0000  0.2680

***

## ii
Material: Ho4In3Ga
Method: DFT, GGA-PBE
State: relaxed

Unit cell a=3.6407 b=3.6407 c=15.3023 alpha=90.00 beta=90.00 gamma=90.00
Space group P4/mmm (No. 123)
Unique sites:
Ho  0.0000  0.0000  0.1137
Ho  0.0000  0.0000  0.3704
In  0.5000  0.5000  0.2425
In  0.5000  0.5000  0.5000
Ga  0.5000  0.5000  0.0000

***

In eV/atom, relative to the most stable structure: i 0.032; ii 0.000.

***

## i
Material: LaHoInGa
Method: DFT, GGA-PBE
State: relaxed

Unit cell a=3.7098 b=3.7098 c=7.7063 alpha=90.00 beta=90.00 gamma=90.00
Space group P4mm (No. 99)
Unique sites:
La  0.0000  0.0000  0.0000
Ho  0.0000  0.0000  0.4701
In  0.5000  0.5000  0.7149
Ga  0.5000  0.5000  0.2572

***

## ii
Material: LaHoInGa
Method: DFT, GGA-PBE
State: relaxed

Unit cell a=7.5382 b=7.5382 c=7.5382 alpha=90.00 beta=90.00 gamma=90.00
Space group F-43m (No. 216)
Unique sites:
La  0.0000  0.0000  0.0000
Ho  0.0000  0.0000  0.5000
In  0.2500  0.2500  0.2500
Ga  0.2500  0.2500  0.7500

***

In eV/atom, relative to the most stable structure: i 0.000; ii 0.032.

***

## i
Material: HoScInGa
Method: DFT, GGA-PBE
State: relaxed

Unit cell a=7.1367 b=7.1367 c=7.1367 alpha=90.00 beta=90.00 gamma=90.00
Space group F-43m (No. 216)
Unique sites:
Ho  0.0000  0.0000  0.0000
Sc  0.0000  0.0000  0.5000
In  0.2500  0.2500  0.7500
Ga  0.2500  0.2500  0.2500

***

## ii
Material: HoScInGa
Method: DFT, GGA-PBE
State: relaxed

Unit cell a=3.3766 b=3.3766 c=7.8895 alpha=90.00 beta=90.00 gamma=90.00
Space group P4mm (No. 99)
Unique sites:
Ho  0.0000  0.0000  0.0000
Sc  0.0000  0.0000  0.4635
In  0.5000  0.5000  0.7173
Ga  0.5000  0.5000  0.2444

***

In eV/atom, relative to the most stable structure: i 0.028; ii 0.000.

***

## i
Material: SmHoInGa
Method: DFT, GGA-PBE
State: relaxed

Unit cell a=3.6552 b=3.6552 c=7.5686 alpha=90.00 beta=90.00 gamma=90.00
Space group P4mm (No. 99)
Unique sites:
Sm  0.0000  0.0000  0.0000
Ho  0.0000  0.0000  0.4714
In  0.5000  0.5000  0.7272
Ga  0.5000  0.5000  0.2455

***

## ii
Material: SmHoInGa
Method: DFT, GGA-PBE
State: relaxed

Unit cell a=7.4083 b=7.4083 c=7.4083 alpha=90.00 beta=90.00 gamma=90.00
Space group F-43m (No. 216)
Unique sites:
Sm  0.0000  0.0000  0.0000
Ho  0.0000  0.0000  0.5000
In  0.2500  0.2500  0.2500
Ga  0.2500  0.2500  0.7500

***

In eV/atom, relative to the most stable structure: i 0.000; ii 0.021.